[1]
{
  "formula": "LaY",
  "functional": "GGA-PBE",
  "state": "optimized geometry",
  "delta_e_f_ev_per_atom": 0.145,
  "m_tot_mub_per_atom": 0.00,
  "e_above_lowest_polymorph_ev_per_atom": 0.141,
  "lattice_angstrom": [[16.8606, 0.0000, 0.0000], [0.0000, 3.5462, 0.0000], [0.0000, 0.0000, 7.0553]],
  "species": ["La", "La", "La", "La", "La", "La", "Y", "Y", "Y", "Y", "Y", "Y"],
  "frac_coords": [[0.3288, 0.0000, 0.6680], [0.6712, 0.0000, 0.6680], [0.8288, 0.5000, 0.1680], [0.1712, 0.5000, 0.1680], [0.0000, 0.0000, 0.9297], [0.5000, 0.5000, 0.4297], [0.3573, 0.0000, 0.1650], [0.6427, 0.0000, 0.1650], [0.8573, 0.5000, 0.6650], [0.1427, 0.5000, 0.6650], [0.0000, 0.0000, 0.4063], [0.5000, 0.5000, 0.9063]]
}



[2]
{
  "formula": "Ba2U2S7",
  "functional": "GGA-PBE",
  "state": "optimized geometry",
  "m_tot_mub_per_atom": 0.18,
  "energy_ev_per_atom": -6.5100,
  "lattice_angstrom": [[-0.5152, -5.9276, 3.7760], [5.8669, 1.2253, 2.7242], [-3.7700, 3.1291, 4.3977]],
  "species": ["Ba", "Ba", "U", "U", "S", "S", "S", "S", "S", "S", "S"],
  "frac_coords": [[0.5000, 0.7623, 0.7623], [0.5000, 0.2377, 0.2377], [0.0000, 0.7241, 0.2759], [0.0000, 0.2759, 0.7241], [0.7705, 0.0000, 0.5000], [0.2295, 0.5000, 0.0000], [0.2295, 0.0000, 0.5000], [0.7705, 0.5000, 0.0000], [0.0000, 0.0000, 0.0000], [0.2181, 0.5000, 0.5000], [0.7819, 0.5000, 0.5000]]
}



[3]
{
  "formula": "Hf3NbPb",
  "functional": "GGA-PBE",
  "state": "optimized geometry",
  "delta_e_f_ev_per_atom": 0.100,
  "m_tot_mub_per_atom": 0.00,
  "e_above_lowest_polymorph_ev_per_atom": 0.000,
  "lattice_angstrom": [[-0.6419, 2.6555, 1.7208], [1.1984, -4.9091, 4.9935], [10.4073, -0.1600, 4.1291]],
  "species": ["Hf", "Hf", "Hf", "Hf", "Hf", "Hf", "Nb", "Nb", "Pb", "Pb"],
  "frac_coords": [[0.1336, 0.2671, 0.2696], [0.8664, 0.7329, 0.7304], [0.4882, 0.9764, 0.1638], [0.5118, 0.0236, 0.8362], [0.2016, 0.4032, 0.6342], [0.7984, 0.5968, 0.3658], [0.5703, 0.1406, 0.5402], [0.4297, 0.8594, 0.4598], [0.8341, 0.6682, 0.0653], [0.1659, 0.3318, 0.9347]]
}



[4]
{
  "formula": "ZnSnPt",
  "functional": "GGA-PBE",
  "state": "optimized geometry",
  "delta_e_f_ev_per_atom": -0.450,
  "m_tot_mub_per_atom": 0.00,
  "lattice_angstrom": [[-3.3598, 2.3481, 1.6061], [-3.0534, -5.3148, 1.3827], [3.7568, -0.0824, 7.9795]],
  "species": ["Sn", "Sn", "Sn", "Sn", "Pt", "Pt", "Pt", "Pt", "Zn", "Zn", "Zn", "Zn"],
  "frac_coords": [[0.7500, 0.9995, 0.1374], [0.2500, 0.4995, 0.3626], [0.2500, 0.0005, 0.8626], [0.7500, 0.5005, 0.6374], [0.7500, 0.7492, 0.3806], [0.2500, 0.2492, 0.1194], [0.2500, 0.2508, 0.6194], [0.7500, 0.7508, 0.8806], [0.7500, 0.4913, 0.1118], [0.2500, 0.9913, 0.3882], [0.2500, 0.5087, 0.8882], [0.7500, 0.0087, 0.6118]]
}